Entry 1:
Compound: NaAuBr6
Source: the Alexandria database
Functional: PBE
Structure: relaxed

```
NaAuBr6
1.0
7.051 0.000 0.000
2.380 6.693 0.000
1.332 0.544 7.455
Na Au Br
1 1 6
Cartesian
0.000 0.000 0.000
1.856 3.619 3.728
2.885 4.421 5.820
3.316 5.151 2.424
2.814 0.838 0.529
7.948 6.399 6.926
7.446 2.086 5.032
7.877 2.816 1.636
```

calculated volume = 352 Å³/f.u.
uncorrected formation energy = -325 kJ/mol of formula units
space group = No. 2
E = -2.251 eV per atom



Entry 2:
Compound: Na2Au2Br5
Source: the Alexandria database
Functional: PBE
Structure: relaxed

```
Na2Au2Br5
1.0
-9.110 3.824 3.929
9.110 -3.824 3.929
9.110 3.824 -3.929
Na Au Br
4 4 10
Cartesian
2.067 0.375 0.000
7.043 0.375 0.000
2.067 3.449 3.929
7.043 3.449 3.929
4.555 3.804 -0.731
4.555 0.019 3.198
0.000 3.824 0.858
0.000 0.000 4.787
4.555 -0.797 0.842
9.497 1.887 -1.075
8.722 -1.937 2.854
13.664 0.797 0.842
2.645 3.137 0.942
6.465 3.137 0.942
-0.388 1.937 2.854
9.497 1.937 2.854
2.645 0.687 4.871
6.465 0.687 4.871
```

calculated volume = 274 Å³/f.u.
uncorrected formation energy = -586 kJ/mol of formula units
space group = No. 46
E = -2.625 eV per atom



Entry 3:
Compound: NaAuBr3
Source: the Alexandria database
Functional: PBE
Structure: relaxed

```
NaAuBr3
1.0
5.410 0.000 0.000
0.000 5.410 0.000
0.000 0.000 5.410
Na Au Br
1 1 3
Cartesian
0.000 0.000 0.000
2.705 2.705 2.705
0.000 0.000 2.705
0.000 2.705 0.000
2.705 0.000 0.000
```

calculated volume = 158 Å³/f.u.
uncorrected formation energy = 43 kJ/mol of formula units
space group = No. 221
energy above the most stable polymorph in this dataset = 786 meV per atom
E = -1.834 eV per atom



Entry 4:
Compound: Na5AuBr4
Source: the Alexandria database
Functional: PBE
Structure: relaxed

```
Na5AuBr4
1.0
-2.135 2.135 15.160
2.135 -2.135 15.160
2.135 2.135 -15.160
Na Au Br
5 1 4
Cartesian
0.000 0.000 0.000
0.000 0.000 6.066
0.000 0.000 12.081
0.000 0.000 18.239
0.000 0.000 24.254
0.000 0.000 15.160
0.000 0.000 3.046
0.000 0.000 9.080
0.000 0.000 21.240
0.000 0.000 27.274
```

calculated volume = 276 Å³/f.u.
uncorrected formation energy = -1224 kJ/mol of formula units
space group = No. 139
E = -2.925 eV per atom



Entry 5:
Compound: Na3AuBr
Source: the Alexandria database
Functional: PBE
Structure: relaxed

```
Na3AuBr
1.0
5.493 0.000 0.000
0.000 5.493 0.000
0.000 0.000 5.493
Na Au Br
3 1 1
Cartesian
0.000 0.000 2.746
0.000 2.746 0.000
2.746 0.000 0.000
2.746 2.746 2.746
0.000 0.000 0.000
```

calculated volume = 166 Å³/f.u.
uncorrected formation energy = -228 kJ/mol of formula units
space group = No. 221
energy above the most stable polymorph in this dataset = 0 meV per atom
E = -2.253 eV per atom



Entry 6:
Compound: NaAuBr5
Source: the Alexandria database
Functional: PBE
Structure: relaxed

```
NaAuBr5
1.0
6.942 -3.525 0.000
6.942 3.525 0.000
-3.475 0.000 9.869
Na Au Br
2 2 10
Cartesian
4.335 3.120 7.402
6.073 -3.120 2.467
6.942 0.000 0.000
5.204 0.000 4.935
2.113 1.900 8.932
3.184 1.573 4.795
6.557 1.900 5.871
6.073 0.854 2.467
8.962 1.573 0.140
1.446 -1.573 9.729
4.335 -0.854 7.402
3.850 -1.900 3.998
7.224 -1.573 5.074
8.295 -1.900 0.937
```

calculated volume = 241 Å³/f.u.
uncorrected formation energy = -291 kJ/mol of formula units
space group = No. 15
E = -2.282 eV per atom



Entry 7:
Compound: NaAuBr
Source: the Alexandria database
Functional: PBE
Structure: relaxed

```
NaAuBr
1.0
11.244 0.000 0.000
0.000 2.020 3.519
0.000 -2.020 3.519
Na Au Br
2 2 2
Cartesian
1.960 0.000 0.000
9.284 0.000 0.000
0.000 0.000 2.342
5.622 0.000 0.052
3.823 0.000 2.337
7.421 0.000 2.337
```

calculated volume = 80 Å³/f.u.
uncorrected formation energy = -121 kJ/mol of formula units
space group = No. 38
E = -2.507 eV per atom



Entry 8:
Compound: Na2AuBr5
Source: the Alexandria database
Functional: PBE
Structure: relaxed

```
Na2AuBr5
1.0
8.325 -3.602 0.000
8.325 3.602 0.000
-7.690 0.000 9.406
Na Au Br
4 2 10
Cartesian
4.480 3.570 4.703
12.151 0.026 0.393
8.306 -0.026 5.096
8.325 -3.570 0.000
4.152 -0.001 2.545
0.308 0.001 7.248
2.700 2.018 2.773
6.078 2.024 0.200
-0.964 0.747 5.234
1.758 2.021 7.020
2.881 -0.747 0.531
5.424 0.744 4.559
-1.144 -2.018 7.476
1.579 -0.744 9.262
2.233 -2.024 4.903
5.603 -2.021 2.317
```

calculated volume = 282 Å³/f.u.
uncorrected formation energy = -619 kJ/mol of formula units
space group = No. 9
energy above the most stable polymorph in this dataset = 0 meV per atom
E = -2.587 eV per atom



Question: E of number 1 (NaAuBr6)?
Answer: -2.251 eV per atom



Question: The highest calculated volume belongs to which entry?
Answer: NaAuBr6